one:
TiAs2BrCl | PBE | relaxed

Properties
- density (g cm⁻³) = 4.1
- DOS at the Fermi energy (states/eV per atom) = 1.386

Cell: 4.676 4.676 5.861 Å, 90.00 90.00 90.00°
Fractional positions:
Ti 0.000 0.000 0.000
As 0.000 0.500 0.500
As 0.500 0.000 0.500
Br 0.500 0.500 0.000
Cl 0.500 0.500 0.500

two:
TiAs2BrCl | PBE | relaxed

Properties
- density (g cm⁻³) = 4.2
- DOS at the Fermi energy (states/eV per atom) = 0.867

Cell: 4.981 4.981 4.936 Å, 90.00 90.00 90.00°
Fractional positions:
Ti 0.000 0.000 0.000
As 0.000 0.500 0.000
As 0.500 0.000 0.000
Br 0.000 0.000 0.500
Cl 0.500 0.500 0.500

We find two to be the most stable, with the next structure 0.977 eV/atom higher.

one:
TlAsBr2Cl | PBE | relaxed

Properties
- density (g cm⁻³) = 5.1
- DOS at the Fermi energy (states/eV per atom) = 0.043

Cell: 5.456 5.456 5.186 Å, 90.00 90.00 90.00°
Fractional positions:
Tl 0.000 0.000 0.000
As 0.500 0.500 0.500
Br 0.000 0.500 0.500
Br 0.500 0.000 0.500
Cl 0.500 0.500 0.000

two:
TlAsBr2Cl | PBE | relaxed

Properties
- density (g cm⁻³) = 4.2
- DOS at the Fermi energy (states/eV per atom) = 1.029

Cell: 6.428 6.428 4.556 Å, 90.00 90.00 90.00°
Fractional positions:
Tl 0.000 0.000 0.000
As 0.500 0.500 0.000
Br 0.000 0.500 0.500
Br 0.500 0.000 0.500
Cl 0.500 0.500 0.500

three:
TlAsBr2Cl | PBE | relaxed

Properties
- density (g cm⁻³) = 4.5
- DOS at the Fermi energy (states/eV per atom) = 1.060

Cell: 5.452 5.452 5.875 Å, 90.00 90.00 90.00°
Fractional positions:
Tl 0.000 0.000 0.000
As 0.000 0.000 0.500
Br 0.000 0.500 0.000
Br 0.500 0.000 0.000
Cl 0.500 0.500 0.500

We find one to be the most stable, with the next structure 0.668 eV/atom higher.

one:
TlAs2BrCl | PBE | relaxed

Properties
- density (g cm⁻³) = 4.7
- DOS at the Fermi energy (states/eV per atom) = 1.182

Cell: 5.495 5.495 5.533 Å, 90.00 90.00 90.00°
Fractional positions:
Tl 0.000 0.000 0.000
As 0.000 0.500 0.000
As 0.500 0.000 0.000
Br 0.000 0.000 0.500
Cl 0.500 0.500 0.500

two:
TlAs2BrCl | PBE | relaxed

Properties
- density (g cm⁻³) = 4.7
- DOS at the Fermi energy (states/eV per atom) = 0.641

Cell: 4.873 4.873 7.058 Å, 90.00 90.00 90.00°
Fractional positions:
Tl 0.000 0.000 0.000
As 0.000 0.500 0.500
As 0.500 0.000 0.500
Br 0.500 0.500 0.000
Cl 0.500 0.500 0.500

We find two to be the most stable, with the next structure 0.297 eV/atom higher.